Entry 1:
Sm2YZn: optimized geometry, PBE-GGA.

Properties
The space group is R-3m, No. 166. As for the calculated formation energy: -0.034 eV per atom. The calculated total energy is -4.328 eV/atom.

abc: 3.6225 3.6225 10.7104
angles: 80.26 80.26 60.00
With the nearest neighbours (Å) after each atom.
Positions (direct):
Y: 0.5000 0.5000 0.5000  6 Sm 3.62, 6 Y 3.62
Zn: 0.0000 0.0000 0.0000  6 Sm 3.11
Sm: 0.2604 0.2604 0.2186  3 Zn 3.11
Sm: 0.7396 0.7396 0.7814  3 Zn 3.11

Entry 2:
Sm3YZn2: optimized geometry, PBE-GGA.

Properties
The space group is Ibam, No. 72. As for the calculated formation energy: 0.047 eV per atom. The calculated total energy is -3.815 eV/atom.

abc: 6.9754 7.2992 8.8166
angles: 114.45 113.30 90.00
With the nearest neighbours (Å) after each atom.
Positions (direct):
Sm: 0.5000 0.2500 0.0000  4 Zn 3.06
Sm: 0.5000 0.7500 0.0000  4 Zn 3.06
Sm: 0.7722 0.0222 0.5444  4 Zn 3.03-3.04
Sm: 0.2278 0.4778 0.4556  4 Zn 3.03-3.04
Sm: 0.2278 0.9778 0.4556  4 Zn 3.03-3.04
Sm: 0.7722 0.5222 0.5444  4 Zn 3.03-3.04
Y: 0.0000 0.5000 0.0000  2 Zn 2.86
Y: 0.0000 0.0000 0.0000  2 Zn 2.86
Zn: 0.5677 0.3623 0.7246  1 Y 2.86, 6 Sm 3.03-3.06
Zn: 0.8431 0.1377 0.2754  1 Y 2.86, 6 Sm 3.03-3.06
Zn: 0.1569 0.8623 0.7246  1 Y 2.86, 6 Sm 3.03-3.06
Zn: 0.4323 0.6377 0.2754  1 Y 2.86, 6 Sm 3.03-3.06

Entry 3:
SmY2Zn9: optimized geometry, PBE-GGA.

Properties
The space group is R-3m, No. 166. As for the calculated formation energy: -0.328 eV per atom. The calculated total energy is -2.754 eV/atom.

abc: 5.4648 5.4648 9.1677
angles: 72.66 72.66 60.00
With the nearest neighbours (Å) after each atom.
Positions (direct):
Sm: 0.0000 0.0000 0.0000  18 Zn 3.16-3.47
Y: 0.8600 0.8600 0.4199  12 Zn 3.11-3.25, 3 Y 3.44
Y: 0.1400 0.1400 0.5801  12 Zn 3.11-3.25, 3 Y 3.44
Zn: 0.6650 0.6650 0.0050  6 Zn 2.64-2.67
Zn: 0.3350 0.3350 0.9950  6 Zn 2.64-2.67
Zn: 0.5000 0.5000 0.5000  6 Zn 2.70
Zn: 0.4143 0.4143 0.2480  7 Zn 2.64-2.78
Zn: 0.9235 0.4143 0.2480  7 Zn 2.64-2.78
Zn: 0.4143 0.9235 0.2480  7 Zn 2.64-2.78
Zn: 0.5857 0.5857 0.7520  7 Zn 2.64-2.78
Zn: 0.5857 0.0765 0.7520  7 Zn 2.64-2.78
Zn: 0.0765 0.5857 0.7520  7 Zn 2.64-2.78

Entry 4:
SmYZn4: optimized geometry, PBE-GGA.

Properties
The space group is Immm, No. 71. As for the calculated formation energy: -0.375 eV per atom. The calculated total energy is -3.088 eV/atom.

abc: 4.5001 5.7458 5.7458
angles: 77.16 66.95 66.95
With the nearest neighbours (Å) after each atom.
Positions (direct):
Sm: 0.0000 0.0000 0.0000  12 Zn 3.15-3.16
Y: 0.0000 0.5000 0.5000  12 Zn 3.15-3.16
Zn: 0.6664 0.5823 0.0848  3 Zn 2.59-2.60
Zn: 0.3336 0.9152 0.4177  3 Zn 2.59-2.60
Zn: 0.3336 0.4177 0.9152  3 Zn 2.59-2.60
Zn: 0.6664 0.0848 0.5823  3 Zn 2.59-2.60

Entry 5:
SmY2Zn: optimized geometry, PBE-GGA.

Properties
The space group is P4/mmm, No. 123. As for the calculated formation energy: -0.168 eV per atom. The calculated total energy is -4.899 eV/atom.

abc: 3.5894 3.5894 8.7360
angles: 90.00 90.00 90.00
With the nearest neighbours (Å) after each atom.
Positions (direct):
Y: 0.0000 0.0000 0.7968  4 Zn 3.10
Y: 0.0000 0.0000 0.2032  4 Zn 3.10
Zn: 0.5000 0.5000 0.0000  8 Y 3.10
Sm: 0.5000 0.5000 0.5000  4 Sm 3.59, 8 Y 3.63

Entry 6:
Sm3Y2Zn3: optimized geometry, PBE-GGA.

Properties
The space group is Immm, No. 71. As for the calculated formation energy: -0.235 eV per atom. The calculated total energy is -4.099 eV/atom.

abc: 3.6631 5.2748 11.2988
angles: 103.50 99.33 90.00
With the nearest neighbours (Å) after each atom.
Positions (direct):
Sm: 0.3818 0.3818 0.7635  6 Zn 3.15-3.21
Sm: 0.6182 0.6182 0.2365  6 Zn 3.15-3.21
Sm: 0.5000 0.0000 0.0000  8 Zn 3.13-3.21
Y: 0.2711 0.7711 0.5422  2 Zn 3.04, 4 Y 3.34
Y: 0.7289 0.2289 0.4578  2 Zn 3.04, 4 Y 3.34
Zn: 0.8829 0.8829 0.7657  2 Y 3.04, 6 Sm 3.13-3.21
Zn: 0.0000 0.5000 0.0000  8 Sm 3.15-3.21
Zn: 0.1171 0.1171 0.2343  2 Y 3.04, 6 Sm 3.13-3.21

Entry 7:
Sm2YZn9: optimized geometry, PBE-GGA.

Properties
The space group is R-3m, No. 166. As for the calculated formation energy: -0.305 eV per atom. The calculated total energy is -2.585 eV/atom.

abc: 5.4722 5.4722 9.2387
angles: 72.77 72.77 60.00
With the nearest neighbours (Å) after each atom.
Positions (direct):
Sm: 0.8601 0.8601 0.4197  12 Zn 3.14-3.32, 3 Sm 3.45
Sm: 0.1399 0.1399 0.5803  12 Zn 3.14-3.32, 3 Sm 3.45
Y: 0.0000 0.0000 0.0000  18 Zn 3.16-3.46
Zn: 0.6653 0.6653 0.0041  6 Zn 2.62-2.65
Zn: 0.3347 0.3347 0.9959  6 Zn 2.62-2.65
Zn: 0.5000 0.5000 0.5000  6 Zn 2.74
Zn: 0.4167 0.4167 0.2433  7 Zn 2.62-2.77
Zn: 0.9233 0.4167 0.2433  7 Zn 2.62-2.77
Zn: 0.4167 0.9233 0.2433  7 Zn 2.62-2.77
Zn: 0.5833 0.5833 0.7567  7 Zn 2.62-2.77
Zn: 0.5833 0.0767 0.7567  7 Zn 2.62-2.77
Zn: 0.0767 0.5833 0.7567  7 Zn 2.62-2.77

Entry 8:
SmY6Zn2: optimized geometry, PBE-GGA.

Properties
The space group is I4/mmm, No. 139. As for the calculated formation energy: 0.254 eV per atom. The calculated total energy is -4.862 eV/atom.

abc: 4.8323 4.8323 13.1648
angles: 100.58 100.58 90.00
With the nearest neighbours (Å) after each atom.
Positions (direct):
Sm: 0.0000 0.0000 0.0000  8 Y 3.69
Y: 0.8903 0.3903 0.7806  2 Zn 2.99
Y: 0.3903 0.8903 0.7806  2 Zn 2.99
Y: 0.1097 0.6097 0.2194  2 Zn 2.99
Y: 0.7500 0.2500 0.5000  4 Zn 3.02
Y: 0.2500 0.7500 0.5000  4 Zn 3.02
Y: 0.6097 0.1097 0.2194  2 Zn 2.99
Zn: 0.3212 0.3212 0.6424  8 Y 2.99-3.02
Zn: 0.6788 0.6788 0.3576  8 Y 2.99-3.02

Entry 9:
Sm2Y8Zn: optimized geometry, PBE-GGA.

Properties
The space group is C2/m, No. 12. As for the calculated formation energy: -0.019 eV per atom. The calculated total energy is -5.693 eV/atom.

abc: 5.5352 6.4529 10.0379
angles: 94.31 106.00 90.00
With the nearest neighbours (Å) after each atom.
Positions (direct):
Sm: 0.7576 0.6673 0.5152  9 Y 3.45-3.86, 2 Sm 3.51
Sm: 0.2424 0.3327 0.4848  9 Y 3.45-3.86, 2 Sm 3.51
Y: 0.4239 0.3875 0.8478  1 Zn 3.00, 1 Y 3.17
Y: 0.6546 0.1275 0.3091  1 Zn 3.03
Y: 0.8441 0.1896 0.6881  6 Y 3.37-3.74, 4 Sm 3.56-3.64
Y: 0.9578 0.7458 0.9155  2 Zn 3.29, 6 Y 3.55-3.68
Y: 0.1559 0.8104 0.3119  6 Y 3.37-3.74, 4 Sm 3.56-3.64
Y: 0.3454 0.8725 0.6909  1 Zn 3.03
Y: 0.5761 0.6125 0.1522  1 Zn 3.00, 1 Y 3.17
Y: 0.0422 0.2542 0.0845  2 Zn 3.29, 6 Y 3.55-3.68
Zn: 0.5000 0.0000 0.0000  8 Y 3.00-3.29

Entry 10:
Sm7YZn4: optimized geometry, PBE-GGA.

Properties
The space group is C2/m, No. 12. As for the calculated formation energy: -0.009 eV per atom. The calculated total energy is -3.725 eV/atom.

abc: 5.5698 9.0678 7.5153
angles: 76.08 68.25 72.11
With the nearest neighbours (Å) after each atom.
Positions (direct):
Sm: 0.7920 0.8786 0.5374  6 Sm 3.26-3.63, 4 Zn 3.34-3.38
Sm: 0.2080 0.1214 0.4626  6 Sm 3.26-3.63, 4 Zn 3.34-3.38
Sm: 0.0681 0.6077 0.2561  5 Zn 3.06-3.38, 2 Sm 3.26-3.39
Sm: 0.9319 0.3923 0.7439  5 Zn 3.06-3.38, 2 Sm 3.26-3.39
Sm: 0.2904 0.6533 0.7659  4 Zn 2.97-3.17
Sm: 0.5000 0.0000 0.0000  2 Y 2.78, 4 Zn 2.92-2.94
Sm: 0.7096 0.3467 0.2341  4 Zn 2.97-3.17
Y: 0.0000 0.0000 0.0000  2 Sm 2.78
Zn: 0.5488 0.2434 0.6590  1 Zn 2.74, 2 Sm 2.94-2.97
Zn: 0.4512 0.7566 0.3410  1 Zn 2.74, 2 Sm 2.94-2.97
Zn: 0.6771 0.6647 0.9811  1 Zn 2.74, 3 Sm 2.92-3.06
Zn: 0.3229 0.3353 0.0189  1 Zn 2.74, 3 Sm 2.92-3.06

Entry 11:
SmYZn2: optimized geometry, PBE-GGA.

Properties
The space group is Fm-3m, No. 225. As for the calculated formation energy: -0.339 eV per atom. The calculated total energy is -3.771 eV/atom.

abc: 5.1108 5.1108 5.1108
angles: 60.00 60.00 60.00
With the nearest neighbours (Å) after each atom.
Positions (direct):
Y: 0.5000 0.5000 0.5000  8 Zn 3.13
Zn: 0.7500 0.7500 0.7500  4 Sm 3.13, 4 Y 3.13
Zn: 0.2500 0.2500 0.2500  4 Y 3.13, 4 Sm 3.13
Sm: 0.0000 0.0000 0.0000  8 Zn 3.13

Entry 12:
Sm2Y3Zn2: optimized geometry, PBE-GGA.

Properties
The space group is C2/m, No. 12. As for the calculated formation energy: -0.087 eV per atom. The calculated total energy is -4.569 eV/atom.

abc: 4.7287 6.2842 8.1286
angles: 114.99 90.00 112.10
With the nearest neighbours (Å) after each atom.
Positions (direct):
Sm: 0.8609 0.7218 0.2023  4 Zn 3.17-3.43
Sm: 0.1391 0.2782 0.7977  4 Zn 3.17-3.43
Y: 0.5000 0.0000 0.0000  4 Zn 2.90
Y: 0.6337 0.2675 0.4649  1 Zn 2.82
Y: 0.3663 0.7325 0.5351  1 Zn 2.82
Zn: 0.8564 0.7127 0.8099  3 Y 2.82-2.90
Zn: 0.1436 0.2873 0.1901  3 Y 2.82-2.90